[1]
Entry from Alexandria: crystalline AcPm2TmS4 at its relaxed geometry (PBE).

Lattice parameters (Å, degrees): 6.967 3.995 7.199 90.00 108.60 90.00
Space group P2/m (No. 10)
Unique sites:
1 Ac 0.000 0.000 0.000 x1
2 Pm 0.500 0.000 0.500 x1
3 Pm 0.500 0.500 0.000 x1
4 Tm 0.000 0.500 0.500 x1
5 S 0.241 0.000 0.729 x2
6 S 0.255 0.500 0.270 x2

Values from the calculation:
ΔE_f (raw): -1514 kJ/mol of formula units
Energy: -6.2848 eV per atom


[2]
Entry from Alexandria: crystalline Ac2PmUS8 at its relaxed geometry (PBE).

Lattice parameters (Å, degrees): 4.729 9.355 6.992 90.00 90.06 90.00
Space group P2/m (No. 10)
Unique sites:
1 Ac 0.000 0.249 0.000 x2
2 Pm 0.500 0.000 0.500 x1
3 U 0.500 0.500 0.500 x1
4 S 0.000 0.000 0.260 x2
5 S 0.000 0.500 0.289 x2
6 S 0.500 0.273 0.271 x4

Values from the calculation:
ΔE_f (raw): -1855 kJ/mol of formula units
Energy: -6.3752 eV per atom


[3]
Entry from Alexandria: crystalline Ac3Pm3YS8 at its relaxed geometry (PBE).

Lattice parameters (Å, degrees): 8.1985 8.1985 20.7539 90.00 90.00 120.00
Space group R-3m (No. 166, hexagonal axes)
Unique sites:
1 Ac 0.0000 0.5000 0.0000 x9
2 Pm 0.0000 0.5000 0.5000 x9
3 Y 0.0000 0.0000 0.5000 x3
4 S 0.0000 0.0000 0.2440 x6
5 S 0.0071 0.5035 0.2426 x18

Values from the calculation:
ΔE_f (raw): -2965 kJ/mol of formula units
Energy: -6.4526 eV per atom